# 1
FeRh2W | PBE | optimized geometry

POSCAR file:
```
FeRh2W
1.0
2.7756 0.0188 0.0000
-0.0179 2.7756 0.0000
0.0000 0.0000 7.4066
Rh W Fe
2 1 1
Cartesian
0.0000 0.0000 7.3644
0.0000 0.0000 3.7455
1.3788 1.3972 1.8516
1.3788 1.3972 5.5549
```

Results
ρ: 13.0 g/cm³
ΔE to the lowest computed polymorph: 0.059 eV per atom
formation energy: -101 meV/atom
space group: P4/mmm (123)
total magnetization: 3.353 μB/f.u.



# 2
Ac2HoAs3 | PBE | optimized geometry

POSCAR file:
```
Ac2HoAs3
1.0
4.3255 0.0004 -0.9858
-0.2235 4.3196 -0.9863
-0.0327 -0.0331 9.8437
Ac As Ho
2 3 1
Cartesian
0.3985 0.4260 1.8031
3.1392 3.3129 3.8437
3.8028 4.0144 6.7591
1.1095 1.1754 4.9235
2.4282 2.5636 0.7232
1.7522 1.8537 7.7451
```

Results
ρ: 7.6 g/cm³
formation energy: -1415 meV/atom
space group: I4/mmm (139)
total magnetization: 0.000 μB/f.u.



# 3
LiEu2Ho | PBE | optimized geometry

POSCAR file:
```
LiEu2Ho
1.0
-0.1245 2.5650 -2.7983
-1.1571 -2.6923 -2.4163
-8.9734 1.9193 2.1586
Eu Ho Li
2 1 1
Cartesian
-6.9167 1.4794 1.6639
-2.0567 0.4399 0.4948
-5.1275 0.8960 -1.5280
-0.6408 -0.0636 -2.6073
```

Results
ρ: 5.8 g/cm³
ΔE to the lowest computed polymorph: 0.000 eV per atom
formation energy: 105 meV/atom
space group: P4/mmm (123)
total magnetization: 15.561 μB/f.u.



# 4
InRe2Hg | PBE | optimized geometry

POSCAR file:
```
InRe2Hg
1.0
4.9011 -0.0061 0.0000
1.2236 4.7459 0.0000
-3.0623 -2.3699 3.0044
Re Hg In
2 1 1
Cartesian
0.6118 2.3730 1.5022
0.0000 0.0000 0.0000
3.0623 2.3699 0.0000
2.4505 -0.0030 1.5022
```

Results
ρ: 16.3 g/cm³
ΔE to the lowest computed polymorph: 0.553 eV per atom
formation energy: 849 meV/atom
space group: I-4m2 (119)
total magnetization: 0.000 μB/f.u.



Question: Among the records above, which one has the lowest formation energy?
Answer: Ac2HoAs3